# PBE-GGA TiZn2Ga2, optimized geometry
data_TiZn2Ga2
_space_group_name_H-M_alt 'I 4/m m m'
_space_group_IT_number 139
_space_group_name_Hall '-I 4 2'
_cell_length_a 3.7970
_cell_length_b 3.7970
_cell_length_c 11.3056
_cell_angle_alpha 90.00
_cell_angle_beta 90.00
_cell_angle_gamma 90.00
loop_
_atom_site_label
_atom_site_type_symbol
_atom_site_fract_x
_atom_site_fract_y
_atom_site_fract_z
_atom_site_occupancy
Ti1 Ti 0.0000 0.0000 0.0000 1
Zn1 Zn 0.0000 0.5000 0.2500 1
Ga1 Ga 0.0000 0.0000 0.3969 1
# formation energy from the elements	-0.030	eV/atom
# relative energy among the computed polymorphs	0.0	meV/atom
# crystal system	tetragonal
# V	16.30	Å³ per atom
# M_tot	0.0	μB per formula unit